3
Lattice="0.0000 3.5949 3.5949 3.5949 0.0000 3.5949 3.5949 3.5949 0.0000" Properties=species:S:1:pos:R:3 comment="AcLaRe PBE optimized geometry" e_form_ev_per_atom=0.361 magmom_total_mub_per_cell=0.00 relative_energy_mev_per_atom=0 pbc="T T T"
Ac 0.0000 0.0000 0.0000
La 3.5949 3.5949 3.5949
Re 1.7975 1.7975 1.7975